Record 1
TlZn2As after structural relaxation. Source: Alexandria via LeMat-Bulk, functional PBE-GGA.

abc: 4.1503 4.1503 6.7042
angles: 71.90 71.90 59.80
Fractional positions:
Tl (0.2529, 0.2529, 0.2340)
Zn (0.0220, 0.0220, 0.9322)
Zn (0.7611, 0.7611, 0.7198)
As (0.4639, 0.4639, 0.6140)

Values from the calculation:
Total magnetization: 0.000 μB/f.u.
Energy of formation: 0.05 eV/atom


Record 2
TlZnAs2 after structural relaxation. Source: Alexandria via LeMat-Bulk, functional PBE-GGA.

abc: 5.6826 5.6826 3.0864
angles: 84.36 84.36 117.87
Fractional positions:
As (0.0000, 0.0000, 0.0000)
As (0.5000, 0.5000, 0.0000)
Zn (0.0000, 0.5000, 0.5000)
Tl (0.5000, 0.0000, 0.5000)

Values from the calculation:
Total magnetization: 0.000 μB/f.u.
Energy relative to the lowest polymorph listed for this composition: 1.15 eV/f.u.
Energy of formation: 0.34 eV/atom


Record 3
TlZnAs2 after structural relaxation. Source: Alexandria via LeMat-Bulk, functional PBE-GGA.

abc: 3.6647 3.0194 8.4081
angles: 79.78 90.00 90.00
Fractional positions:
Tl (0.0000, 0.4386, 0.5150)
Zn (0.5000, 0.8038, 0.7833)
As (0.0000, 0.1827, 0.9924)
As (0.5000, 0.0748, 0.2094)

Values from the calculation:
Total magnetization: 0.000 μB/f.u.
Energy relative to the lowest polymorph listed for this composition: 0.43 eV/f.u.
Energy of formation: 0.16 eV/atom


Record 4
Tl2ZnAs after structural relaxation. Source: Alexandria via LeMat-Bulk, functional PBE-GGA.

abc: 6.9208 6.9208 7.3027
angles: 61.72 61.72 90.00
Fractional positions:
Zn (0.2500, 0.7500, 0.5000)
Zn (0.5000, 0.5000, 0.0000)
As (0.0000, 0.0000, 0.0000)
As (0.7500, 0.2500, 0.5000)
Tl (0.6308, 0.1250, 0.2500)
Tl (0.8750, 0.8808, 0.7500)
Tl (0.3750, 0.3692, 0.7500)
Tl (0.1192, 0.6250, 0.2500)

Values from the calculation:
Total magnetization: 0.000 μB/f.u.
Energy relative to the lowest polymorph listed for this composition: 1.16 eV/f.u.
Energy of formation: 0.26 eV/atom


Record 5
TlZn2As2 after structural relaxation. Source: Alexandria via LeMat-Bulk, functional PBE-GGA.

abc: 8.1656 8.1656 3.0856
angles: 90.00 90.00 90.00
Fractional positions:
As (0.8434, 0.3434, 0.5000)
As (0.3434, 0.1566, 0.5000)
As (0.6566, 0.8434, 0.5000)
As (0.1566, 0.6566, 0.5000)
Zn (0.8680, 0.6320, 0.0000)
Zn (0.3680, 0.8680, 0.0000)
Zn (0.6320, 0.1320, 0.0000)
Zn (0.1320, 0.3680, 0.0000)
Tl (0.0000, 0.0000, 0.0000)
Tl (0.5000, 0.5000, 0.0000)

Values from the calculation:
Total magnetization: 0.000 μB/f.u.
Energy of formation: 0.14 eV/atom


Record 6
TlZn2As after structural relaxation. Source: Alexandria via LeMat-Bulk, functional PBE-GGA.

abc: 6.7053 6.7053 6.6335
angles: 59.64 59.64 90.00
Fractional positions:
As (0.2500, 0.7500, 0.5000)
As (0.5000, 0.5000, 0.0000)
Zn (0.3750, 0.4311, 0.7500)
Zn (0.5689, 0.1250, 0.2500)
Zn (0.1811, 0.6250, 0.2500)
Zn (0.8750, 0.8189, 0.7500)
Tl (0.0000, 0.0000, 0.0000)
Tl (0.7500, 0.2500, 0.5000)

Values from the calculation:
Total magnetization: 0.000 μB/f.u.
Energy of formation: 0.14 eV/atom


Record 7
TlZnAs2 after structural relaxation. Source: Alexandria via LeMat-Bulk, functional PBE-GGA.

abc: 3.8080 4.3338 6.1848
angles: 70.00 90.00 90.00
Fractional positions:
Tl (0.5000, 0.2500, 0.2500)
As (0.0000, 0.4970, 0.5803)
As (0.0000, 0.0030, 0.9197)
Zn (0.5000, 0.7500, 0.7500)

Values from the calculation:
Total magnetization: 0.000 μB/f.u.
Energy relative to the lowest polymorph listed for this composition: 0.00 eV/f.u.
Energy of formation: 0.05 eV/atom


Record 8
TlZnAs2 after structural relaxation. Source: Alexandria via LeMat-Bulk, functional PBE-GGA.

abc: 5.0495 5.0495 5.9759
angles: 74.68 74.68 41.39
Fractional positions:
Zn (0.2500, 0.2500, 0.2500)
Tl (0.7500, 0.7500, 0.7500)
As (0.9733, 0.9733, 0.1069)
As (0.5267, 0.5267, 0.3931)

Values from the calculation:
Total magnetization: 0.000 μB/f.u.
Energy relative to the lowest polymorph listed for this composition: 0.20 eV/f.u.
Energy of formation: 0.11 eV/atom


- total magnetization of number 6 (TlZn2As)?
  0.000 μB/f.u.